Entry 1:
This record from Alexandria via LeMat-Bulk describes a relaxed structure of ZnRu2Cl. The functional is PBE.

```
ZnRu2Cl
1.0
-1.872 1.749 1.299
0.822 -2.477 1.199
6.422 4.003 3.865
Ru Zn Cl
2 1 1
Direct
0.000 0.000 0.506
0.000 0.000 0.994
0.500 0.500 0.250
0.500 0.500 0.750
```

Output
**E_form (uncorrected)**: 513 meV per atom
**Calculated volume**: 14.94 Å³/atom
**SG**: Cmmm (65)
**Crystal system**: orthorhombic
**Magnetization**: 0.0 μB per formula unit

Entry 2:
This record from Alexandria via LeMat-Bulk describes a relaxed structure of ZnRu2Cl. The functional is PBE.

```
ZnRu2Cl
1.0
8.383 -0.012 -0.007
7.881 2.858 -0.007
7.881 1.379 2.503
Ru Cl Zn
2 1 1
Direct
0.998 0.998 0.998
0.252 0.252 0.252
0.748 0.748 0.748
0.502 0.502 0.502
```

Output
**E_form (uncorrected)**: 170 meV per atom
**Calculated volume**: 15.09 Å³/atom
**SG**: R3m (160)
**Crystal system**: trigonal
**Magnetization**: 0.0 μB per formula unit

Entry 3:
This record from Alexandria via LeMat-Bulk describes a relaxed structure of ZnRu2Cl. The functional is PBE.

```
ZnRu2Cl
1.0
-4.561 -4.123 -5.609
-2.251 -5.804 -5.524
-4.330 -6.134 -3.590
Zn Ru Cl
1 2 1
Direct
0.250 0.250 0.250
0.002 0.002 0.002
0.498 0.498 0.498
0.750 0.750 0.750
```

Output
**E_form (uncorrected)**: 402 meV per atom
**Calculated volume**: 14.43 Å³/atom
**SG**: R-3m (166)
**Crystal system**: trigonal
**Magnetization**: 0.0 μB per formula unit

Entry 4:
This record from Alexandria via LeMat-Bulk describes a relaxed structure of ZnRuCl3. The functional is PBE.

```
ZnRuCl3
1.0
4.848 0.000 0.000
0.000 4.848 0.000
0.000 0.000 4.848
Ru Cl Zn
1 3 1
Direct
0.500 0.500 0.500
0.500 0.000 0.000
0.000 0.000 0.500
0.000 0.500 0.000
0.000 0.000 0.000
```

Output
**E_form (uncorrected)**: 198 meV per atom
**Calculated volume**: 22.79 Å³/atom
**SG**: Pm-3m (221)
**Crystal system**: cubic
**Magnetization**: 3.0 μB per formula unit

Entry 5:
This record from Alexandria via LeMat-Bulk describes a relaxed structure of Zn2RuCl8. The functional is PBE.

```
Zn2RuCl8
1.0
6.014 -0.442 0.591
0.214 7.678 2.552
-0.653 2.657 7.617
Zn Cl Ru
2 8 1
Direct
0.579 0.843 0.843
0.421 0.157 0.157
0.757 0.162 0.713
0.366 0.305 0.305
0.189 0.860 0.860
0.243 0.287 0.838
0.243 0.838 0.287
0.634 0.695 0.695
0.811 0.140 0.140
0.757 0.713 0.162
0.000 0.000 0.000
```

Output
**E_form (uncorrected)**: -771 meV per atom
**Calculated volume**: 28.70 Å³/atom
**SG**: C2/m (12)
**Crystal system**: monoclinic
**Magnetization**: 2.0 μB per formula unit

Entry 6:
This record from Alexandria via LeMat-Bulk describes a relaxed structure of ZnRu2Cl. The functional is PBE.

```
ZnRu2Cl
1.0
4.500 0.031 1.351
3.601 2.699 1.351
2.217 0.747 7.200
Cl Ru Zn
1 2 1
Direct
0.250 0.250 0.250
0.950 0.950 0.913
0.550 0.550 0.587
0.750 0.750 0.750
```

Output
**E_form (uncorrected)**: 383 meV per atom
**Calculated volume**: 19.44 Å³/atom
**SG**: C2/m (12)
**Crystal system**: monoclinic
**Magnetization**: 0.0 μB per formula unit

Entry 7:
This record from Alexandria via LeMat-Bulk describes a relaxed structure of ZnRu2Cl. The functional is PBE.

```
ZnRu2Cl
1.0
-2.121 -0.789 1.788
-0.169 -2.554 -1.328
5.220 -2.900 4.913
Ru Zn Cl
2 1 1
Direct
0.000 0.000 0.023
0.500 0.500 0.232
0.000 0.000 0.452
0.500 0.500 0.793
```

Output
**E_form (uncorrected)**: 118 meV per atom
**Calculated volume**: 16.08 Å³/atom
**SG**: P4mm (99)
**Crystal system**: tetragonal
**Magnetization**: 0.0 μB per formula unit

Entry 8:
This record from Alexandria via LeMat-Bulk describes a relaxed structure of ZnRu2Cl. The functional is PBE.

```
ZnRu2Cl
1.0
-1.903 -2.018 -3.240
-0.845 -2.121 1.818
-4.045 2.917 0.558
Cl Zn Ru
1 1 2
Direct
0.500 0.750 0.750
0.500 0.250 0.250
0.000 0.911 0.026
0.000 0.589 0.474
```

Output
**E_form (uncorrected)**: 549 meV per atom
**Calculated volume**: 15.50 Å³/atom
**SG**: P2/m (10)
**Crystal system**: monoclinic
**Magnetization**: 0.0 μB per formula unit

Entry 9:
This record from Alexandria via LeMat-Bulk describes a relaxed structure of ZnRuCl. The functional is PBE.

```
ZnRuCl
1.0
4.239 0.000 0.000
-2.119 3.671 0.000
0.000 0.000 3.007
Ru Cl Zn
1 1 1
Direct
0.333 0.667 0.167
0.000 0.000 0.167
0.667 0.333 0.667
```

Output
**E_form (uncorrected)**: 497 meV per atom
**Calculated volume**: 15.60 Å³/atom
**SG**: P-6m2 (187)
**Crystal system**: hexagonal
**Magnetization**: 0.0 μB per formula unit

Entry 10:
This record from Alexandria via LeMat-Bulk describes a relaxed structure of Zn3RuCl. The functional is PBE.

```
Zn3RuCl
1.0
4.579 0.000 0.000
0.000 4.579 0.000
0.000 0.000 4.579
Zn Cl Ru
3 1 1
Direct
0.000 0.000 0.500
0.500 0.000 0.000
0.000 0.500 0.000
0.000 0.000 0.000
0.500 0.500 0.500
```

Output
**E_form (uncorrected)**: 1149 meV per atom
**Calculated volume**: 19.21 Å³/atom
**SG**: Pm-3m (221)
**Crystal system**: cubic
**Magnetization**: 0.0 μB per formula unit

Entry 11:
This record from Alexandria via LeMat-Bulk describes a relaxed structure of ZnRuCl6. The functional is PBE.

```
ZnRuCl6
1.0
-3.023 -4.142 4.789
-2.661 1.223 -5.739
5.606 -3.184 -1.796
Zn Cl Ru
1 6 1
Direct
0.000 0.000 0.000
0.710 0.421 0.000
0.386 0.138 0.274
0.113 0.864 0.726
0.614 0.862 0.726
0.887 0.136 0.274
0.290 0.579 0.000
0.500 0.000 0.000
```

Output
**E_form (uncorrected)**: -673 meV per atom
**Calculated volume**: 27.83 Å³/atom
**SG**: C2/m (12)
**Crystal system**: monoclinic
**Magnetization**: 2.0 μB per formula unit

Entry 12:
This record from Alexandria via LeMat-Bulk describes a relaxed structure of ZnRu2Cl. The functional is PBE.

```
ZnRu2Cl
1.0
-1.047 1.063 -2.627
2.243 -1.400 -1.461
-3.569 -5.064 -0.625
Ru Cl Zn
2 1 1
Direct
0.000 0.000 0.007
0.000 0.000 0.493
0.500 0.500 0.750
0.500 0.500 0.250
```

Output
**E_form (uncorrected)**: 561 meV per atom
**Calculated volume**: 14.21 Å³/atom
**SG**: P4/mmm (123)
**Crystal system**: tetragonal
**Magnetization**: 0.0 μB per formula unit